Here is crystalline Ac3MnNi2O9 at its relaxed geometry from Alexandria. Energies are from PBE with a Hubbard U.

symmetry: P-3m1, No. 164
uncorrected energy: -6.9609 eV/atom

a = 5.5811 Å, b = 5.5811 Å, c = 6.8582 Å
α = 90.00°, β = 90.00°, γ = 120.00°
With the nearest neighbours (Å) after each atom.
Positions (direct):
Ac  0.0000  0.0000  0.0000  12 O 2.79-2.80
Ac  0.3333  0.6667  0.6728  12 O 2.76-2.83
Ac  0.6667  0.3333  0.3272  12 O 2.76-2.83
Mn  0.0000  0.0000  0.5000  6 O 1.93
Ni  0.3333  0.6667  0.1684  6 O 1.98-2.01
Ni  0.6667  0.3333  0.8316  6 O 1.98-2.01
O  0.0000  0.5000  0.0000  2 Ni 1.98
O  0.1630  0.3260  0.3373  1 Mn 1.93, 1 Ni 2.01
O  0.1630  0.8370  0.3373  1 Mn 1.93, 1 Ni 2.01
O  0.3260  0.1630  0.6627  1 Mn 1.93, 1 Ni 2.01
O  0.5000  0.0000  0.0000  2 Ni 1.98
O  0.5000  0.5000  0.0000  2 Ni 1.98
O  0.6740  0.8370  0.3373  1 Mn 1.93, 1 Ni 2.01
O  0.8370  0.1630  0.6627  1 Mn 1.93, 1 Ni 2.01
O  0.8370  0.6740  0.6627  1 Mn 1.93, 1 Ni 2.01